Entry 1:
First-principles (GGA-PBE) data for crystalline Tl2Pd3 at its relaxed geometry, as listed in the Alexandria database.

The density of states at the Fermi level is 2.2 states/eV/f.u. Its total DFT energy (no corrections) is -4.15 eV/atom. Its space-group type is Ibam, No. 72. The formation energy is -0.0888 eV per atom.

Lattice parameters (Å, degrees): 7.045 7.045 7.045 123.74 74.91 134.83
Fractional positions:
Tl 0.169 0.246 0.415
Tl 0.331 0.746 0.077
Tl 0.669 0.254 0.923
Tl 0.831 0.754 0.585
Pd 0.086 0.847 0.933
Pd 0.250 0.750 0.500
Pd 0.414 0.347 0.761
Pd 0.586 0.653 0.239
Pd 0.750 0.250 0.500
Pd 0.914 0.153 0.067

Entry 2:
First-principles (GGA-PBE) data for crystalline Tl3Pd at its relaxed geometry, as listed in the Alexandria database.

The density of states at the Fermi level is 1.5 states/eV/f.u. Its total DFT energy (no corrections) is -3.07 eV/atom. Its space-group type is Pmm2, No. 25. The formation energy is 0.0071 eV per atom.

Lattice parameters (Å, degrees): 3.433 3.620 8.659 90.00 90.00 90.00
Fractional positions:
Tl 0.000 0.000 0.000
Tl 0.000 0.500 0.315
Tl 0.500 0.500 0.722
Pd 0.500 0.000 0.474

Entry 3:
First-principles (GGA-PBE) data for crystalline Tl3Pd at its relaxed geometry, as listed in the Alexandria database.

The density of states at the Fermi level is 1.9 states/eV/f.u. Its total DFT energy (no corrections) is -3.07 eV/atom. Its space-group type is C2/m, No. 12. The formation energy is -0.0017 eV per atom.

Lattice parameters (Å, degrees): 3.716 3.716 9.306 98.75 98.75 55.69
Fractional positions:
Tl 0.000 0.000 0.000
Tl 0.232 0.232 0.707
Tl 0.768 0.768 0.293
Pd 0.500 0.500 0.500

Entry 4:
First-principles (GGA-PBE) data for crystalline Tl4Pd at its relaxed geometry, as listed in the Alexandria database.

The density of states at the Fermi level is 2.1 states/eV/f.u. Its total DFT energy (no corrections) is -2.98 eV/atom. Its space-group type is P4/nbm, No. 125. The formation energy is -0.0524 eV per atom.

Lattice parameters (Å, degrees): 6.699 6.699 6.058 90.00 90.00 90.00
Fractional positions:
Tl 0.077 0.577 0.244
Tl 0.077 0.923 0.756
Tl 0.423 0.577 0.756
Tl 0.423 0.923 0.244
Tl 0.577 0.077 0.756
Tl 0.577 0.423 0.244
Tl 0.923 0.077 0.244
Tl 0.923 0.423 0.756
Pd 0.250 0.250 0.500
Pd 0.750 0.750 0.500